[1]
A relaxed TiGaSe2Br crystal, computed with PBE.

**Formation energy from raw total energies**: 251 meV/atom
**Final energy**: -3.661 eV per atom
**Total moment**: 0.0 μB per formula unit
**Symmetry**: P4/mmm (123)

Cell lengths 4.978, 4.978, 4.994 Å; angles 90.00, 90.00, 90.00 degrees
Sites, in units of the cell vectors:
Ti 0.500 0.500 0.500
Br 0.000 0.000 0.500
Ga 0.000 0.000 0.000
Se 0.000 0.500 0.000
Se 0.500 0.000 0.000

[2]
A relaxed ScSnRu3 crystal, computed with PBE.

**Final energy**: -6.397 eV per atom
**Energy relative to the elements**: 1236 meV/atom
**Total moment**: 1.1 μB per formula unit
**Symmetry**: Pm-3m (221)

Cell lengths 4.624, 4.624, 4.624 Å; angles 90.00, 90.00, 90.00 degrees
Sites, in units of the cell vectors:
Ru 0.000 0.000 0.500
Ru 0.500 0.000 0.000
Ru 0.000 0.500 0.000
Sn 0.500 0.500 0.500
Sc 0.000 0.000 0.000

[3]
A relaxed Sc3Ir2 crystal, computed with PBE.

**Final energy**: -8.141 eV per atom
**Energy relative to the elements**: -797 meV/atom
**Total moment**: 0.0 μB per formula unit
**Symmetry**: R-3m (166)

Cell lengths 5.729, 4.528, 4.528 Å; angles 60.00, 113.28, 113.28 degrees
Sites, in units of the cell vectors:
Sc 0.355 0.785 0.785
Sc 0.645 0.215 0.215
Sc 0.000 0.000 0.000
Ir 0.193 0.398 0.398
Ir 0.807 0.602 0.602

[4]
A relaxed ZnGeW crystal, computed with PBE.

**Final energy**: -5.781 eV per atom
**Energy relative to the elements**: 501 meV/atom
**Total moment**: 0.0 μB per formula unit
**Symmetry**: R-3m (166)

Cell lengths 3.993, 3.993, 8.233 Å; angles 75.96, 75.96, 60.00 degrees
Sites, in units of the cell vectors:
W 0.306 0.306 0.083
W 0.694 0.694 0.917
Ge 0.418 0.418 0.747
Ge 0.582 0.582 0.253
Zn 0.867 0.867 0.398
Zn 0.133 0.133 0.602

[5]
A relaxed InPI2 crystal, computed with PBE.

**Formation energy from raw total energies**: 536 meV/atom
**Final energy**: -2.276 eV per atom
**Total moment**: 1.7 μB per formula unit
**Symmetry**: Fm-3m (225)

Cell lengths 5.556, 5.556, 5.556 Å; angles 60.00, 60.00, 60.00 degrees
Sites, in units of the cell vectors:
I 0.250 0.250 0.250
I 0.750 0.750 0.750
In 0.500 0.500 0.500
P 0.000 0.000 0.000

[6]
A relaxed Er2PbF crystal, computed with PBE.

**Formation energy from raw total energies**: -1348 meV/atom
**Final energy**: -5.025 eV per atom
**Total moment**: 0.0 μB per formula unit
**Symmetry**: R-3m (166)

Cell lengths 4.754, 4.754, 7.503 Å; angles 71.53, 71.53, 60.00 degrees
Sites, in units of the cell vectors:
Pb 0.500 0.500 0.500
F 0.000 0.000 0.000
Er 0.897 0.897 0.308
Er 0.103 0.103 0.692

[7]
A relaxed Pr3Ho2Mg crystal, computed with PBE.

**Final energy**: -4.197 eV per atom
**Energy relative to the elements**: -15 meV/atom
**Total moment**: 0.0 μB per formula unit
**Symmetry**: P4/mmm (123)

Cell lengths 3.662, 3.662, 14.539 Å; angles 90.00, 90.00, 90.00 degrees
Sites, in units of the cell vectors:
Pr 0.000 0.000 0.654
Pr 0.000 0.000 0.346
Pr 0.000 0.000 0.000
Ho 0.500 0.500 0.827
Ho 0.500 0.500 0.173
Mg 0.500 0.500 0.500

[8]
A relaxed DyLuRu2 crystal, computed with PBE.

**Final energy**: -7.309 eV per atom
**Energy relative to the elements**: -390 meV/atom
**Total moment**: 0.0 μB per formula unit
**Symmetry**: Fm-3m (225)

Cell lengths 4.758, 4.758, 4.758 Å; angles 60.00, 60.00, 60.00 degrees
Sites, in units of the cell vectors:
Ru 0.500 0.500 0.500
Ru 0.000 0.000 0.000
Lu 0.750 0.750 0.750
Dy 0.250 0.250 0.250

[9]
A relaxed LiEr2ScIn4 crystal, computed with PBE.

**Final energy**: -3.936 eV per atom
**Energy relative to the elements**: -395 meV/atom
**Total moment**: 0.0 μB per formula unit
**Symmetry**: R-3m (166)

Cell lengths 5.114, 5.114, 8.953 Å; angles 73.41, 73.41, 60.00 degrees
Sites, in units of the cell vectors:
Er 0.247 0.247 0.258
Er 0.753 0.753 0.742
In 0.625 0.625 0.126
In 0.875 0.875 0.376
In 0.375 0.375 0.874
In 0.125 0.125 0.624
Sc 0.000 0.000 0.000
Li 0.500 0.500 0.500

[10]
A relaxed AuC2 crystal, computed with PBE.

**Final energy**: -5.819 eV per atom
**Energy relative to the elements**: 1423 meV/atom
**Total moment**: 0.0 μB per formula unit
**Symmetry**: Cmcm (63)

Cell lengths 4.896, 4.896, 4.033 Å; angles 90.00, 90.00, 114.87 degrees
Sites, in units of the cell vectors:
C 0.259 0.980 0.250
C 0.020 0.741 0.250
C 0.741 0.020 0.750
C 0.980 0.259 0.750
Au 0.633 0.367 0.250
Au 0.367 0.633 0.750

[11]
A relaxed Co2SiTe crystal, computed with PBE.

**Formation energy from raw total energies**: -43 meV/atom
**Final energy**: -5.737 eV per atom
**Total moment**: 0.0 μB per formula unit
**Symmetry**: R-3m (166)

Cell lengths 3.603, 3.603, 5.792 Å; angles 71.84, 71.84, 60.01 degrees
Sites, in units of the cell vectors:
Te 0.250 0.250 0.250
Si 0.750 0.750 0.750
Co 0.471 0.471 0.588
Co 0.029 0.029 0.912

[12]
A relaxed NbSbOsW2 crystal, computed with PBE.

**Formation energy from raw total energies**: 1809 meV/atom
**Final energy**: -8.456 eV per atom
**Total moment**: 0.0 μB per formula unit
**Symmetry**: P4/mmm (123)

Cell lengths 4.780, 4.876, 4.780 Å; angles 90.00, 90.00, 90.00 degrees
Sites, in units of the cell vectors:
W 0.000 0.000 0.500
W 0.500 0.000 0.000
Nb 0.500 0.500 0.500
Sb 0.000 0.500 0.000
Os 0.000 0.000 0.000